Density functional theory data (PBE-GGA) for crystalline YMnHg2 at its relaxed geometry.

Calculated values
formation energy: 20.5 kJ/mol of atoms
crystal system: tetragonal
space group: I-42d

Unit cell a=4.524 b=4.524 c=10.430 alpha=77.47 beta=77.47 gamma=90.00
Each line ends with the local moment (μB).
Positions (direct):
Mn  0.500  0.500  0.000  3.85
Mn  0.250  0.750  0.500  3.85
Y  0.000  0.000  0.000  -0.11
Y  0.750  0.250  0.500  -0.11
Hg  0.875  0.837  0.750  0.00
Hg  0.587  0.125  0.250  0.00
Hg  0.375  0.413  0.750  0.00
Hg  0.163  0.625  0.250  0.00